Below is a relaxed LiCdCo2 crystal, with properties calculated at the GGA-PBEsol level.

a b c (Å): 3.496 3.496 8.365
angles (deg): 90.00 90.00 90.00
Space group I4/mmm (No. 139)
One atom of each set of equivalent atoms:
Li (0.000, 0.000, 0.000) (multiplicity 2)
Cd (0.000, 0.000, 0.500) (multiplicity 2)
Co (0.000, 0.500, 0.250) (multiplicity 4)

Values from the calculation:
energy relative to the elements: 0.247 eV per atom
total magnetic moment: 6.2 μB/cell
DOS(E_F): 0.96 states/eV/atom

---

Below is a relaxed LiCdCo2 crystal, with properties calculated at the GGA-PBEsol level.

a b c (Å): 3.049 3.049 5.534
angles (deg): 90.00 90.00 90.00
Space group P4/mmm (No. 123)
One atom of each set of equivalent atoms:
Li (0.000, 0.000, 0.000) (multiplicity 1)
Cd (0.000, 0.000, 0.500) (multiplicity 1)
Co (0.500, 0.500, 0.202) (multiplicity 2)

Values from the calculation:
energy relative to the elements: 0.401 eV per atom
total magnetic moment: 2.7 μB/cell
DOS(E_F): 1.01 states/eV/atom

---

Look up the DOS(E_F) of the second one.
1.01 states/eV/atom